NiRh2Se | GGA-PBE | relaxed

Unit cell a=4.3837 b=2.8681 c=4.5902 alpha=88.20 beta=90.00 gamma=90.00
Atoms (fractional coordinates):
Ni: 0.5000 0.7500 0.7500
Rh: 0.0000 0.0111 0.9971
Rh: 0.0000 0.4889 0.5029
Se: 0.5000 0.2500 0.2500

Uncorrected energy ... -23.184 eV/cell
Crystal system ... monoclinic